## 1
Below is FeRuBr after structural relaxation, with properties calculated at the PBE-GGA level. Values from VASP.

Quantum ESPRESSO input file:
```
&SYSTEM
  ibrav = 0, nat = 3, ntyp = 3
/
ATOMIC_SPECIES
Br 79.90 Br.upf
Fe 55.84 Fe.upf
Ru 101.07 Ru.upf
CELL_PARAMETERS angstrom
5.764 -0.007 -0.001
4.167 3.982 0.001
-4.965 -1.989 2.148
ATOMIC_POSITIONS angstrom
Br -4.934 -1.976 2.148
Fe 3.105 1.242 0.001
Ru 1.830 0.732 2.148
```

SG ... No. 107

## 2
Below is FeRuBr after structural relaxation, with properties calculated at the PBE-GGA level. Values from VASP.

Quantum ESPRESSO input file:
```
&SYSTEM
  ibrav = 0, nat = 3, ntyp = 3
/
ATOMIC_SPECIES
Br 79.90 Br.upf
Fe 55.84 Fe.upf
Ru 101.07 Ru.upf
CELL_PARAMETERS angstrom
-3.843 -1.804 0.109
-0.754 -3.528 -2.240
-0.550 -3.707 1.998
ATOMIC_POSITIONS angstrom
Br 0.000 0.000 0.000
Fe -2.574 -4.519 -0.066
Ru -3.860 -6.779 -0.099
```

SG ... No. 216

## 3
Below is FeRuBr after structural relaxation, with properties calculated at the PBE-GGA level. Values from VASP.

Quantum ESPRESSO input file:
```
&SYSTEM
  ibrav = 0, nat = 3, ntyp = 3
/
ATOMIC_SPECIES
Br 79.90 Br.upf
Fe 55.84 Fe.upf
Ru 101.07 Ru.upf
CELL_PARAMETERS angstrom
-2.390 -0.691 -3.375
-0.364 -2.471 3.368
-2.127 1.850 1.128
ATOMIC_POSITIONS angstrom
Br -0.035 0.030 0.019
Fe -2.248 -0.821 -0.845
Ru -2.598 -0.522 1.947
```

SG ... No. 156

## 4
Below is FeRuBr after structural relaxation, with properties calculated at the PBE-GGA level. Values from VASP.

Quantum ESPRESSO input file:
```
&SYSTEM
  ibrav = 0, nat = 3, ntyp = 3
/
ATOMIC_SPECIES
Br 79.90 Br.upf
Fe 55.84 Fe.upf
Ru 101.07 Ru.upf
CELL_PARAMETERS angstrom
-1.184 2.326 1.888
-1.444 -2.878 -0.109
3.296 -1.816 4.304
ATOMIC_POSITIONS angstrom
Br 0.040 -0.022 0.053
Fe -0.085 -0.062 2.771
Ru 0.713 -2.284 3.260
```

SG ... No. 156

The least stable of them is 3.

## 1
Below is Fe3RuBr after structural relaxation, with properties calculated at the PBE-GGA level. Values from VASP.

Quantum ESPRESSO input file:
```
&SYSTEM
  ibrav = 0, nat = 5, ntyp = 3
/
ATOMIC_SPECIES
Ru 101.07 Ru.upf
Fe 55.84 Fe.upf
Br 79.90 Br.upf
CELL_PARAMETERS angstrom
4.428 0.000 0.000
0.000 4.428 0.000
0.000 0.000 4.428
ATOMIC_POSITIONS angstrom
Ru 2.214 2.214 2.214
Fe 0.000 2.214 0.000
Fe 0.000 0.000 2.214
Fe 2.214 0.000 0.000
Br 0.000 0.000 0.000
```

SG ... No. 221

## 2
Below is Fe3RuBr after structural relaxation, with properties calculated at the PBE-GGA level. Values from VASP.

Quantum ESPRESSO input file:
```
&SYSTEM
  ibrav = 0, nat = 5, ntyp = 3
/
ATOMIC_SPECIES
Ru 101.07 Ru.upf
Fe 55.84 Fe.upf
Br 79.90 Br.upf
CELL_PARAMETERS angstrom
4.692 0.000 0.000
0.000 4.692 0.000
0.000 0.000 4.692
ATOMIC_POSITIONS angstrom
Ru 0.000 0.000 0.000
Fe 0.000 2.346 0.000
Fe 0.000 0.000 2.346
Fe 2.346 0.000 0.000
Br 2.346 2.346 2.346
```

SG ... No. 221

The least stable of them is 1.

## 1
Below is FeS2Br after structural relaxation, with properties calculated at the PBE-GGA level. Values from VASP.

Quantum ESPRESSO input file:
```
&SYSTEM
  ibrav = 0, nat = 4, ntyp = 3
/
ATOMIC_SPECIES
S 32.06 S.upf
Fe 55.84 Fe.upf
Br 79.90 Br.upf
CELL_PARAMETERS angstrom
0.000 3.159 3.159
3.159 0.000 3.159
3.159 3.159 0.000
ATOMIC_POSITIONS angstrom
S 1.580 1.580 1.580
S 4.739 4.739 4.739
Fe 0.000 0.000 0.000
Br 3.159 3.159 3.159
```

SG ... No. 225

## 2
Below is FeS2Br after structural relaxation, with properties calculated at the PBE-GGA level. Values from VASP.

Quantum ESPRESSO input file:
```
&SYSTEM
  ibrav = 0, nat = 4, ntyp = 3
/
ATOMIC_SPECIES
S 32.06 S.upf
Fe 55.84 Fe.upf
Br 79.90 Br.upf
CELL_PARAMETERS angstrom
1.999 0.000 7.146
-1.000 1.731 7.146
-1.000 -1.731 7.146
ATOMIC_POSITIONS angstrom
S 0.000 0.000 18.964
S 0.000 0.000 2.475
Fe 0.000 0.000 10.719
Br 0.000 0.000 0.000
```

SG ... No. 166

The least stable of them is 1.